Entry from Alexandria via LeMat-Bulk: a relaxed LaFe2O crystal (PBE+U).

- uncorrected energy (eV per atom) = -5.50
- M_tot (Bohr magnetons per cell) = 13.3
- crystal system = tetragonal

a b c (Å): 6.460 6.460 6.306
angles (deg): 59.19 59.19 90.00
Positions (direct):
Fe (0.375, 0.125, 0.250)
Fe (0.375, 0.625, 0.250)
Fe (0.375, 0.625, 0.750)
Fe (0.875, 0.625, 0.750)
O (0.500, 0.500, 0.000)
O (0.250, 0.750, 0.500)
La (0.000, 0.000, 0.000)
La (0.750, 0.250, 0.500)